Record 1
8
Lattice="4.695 0.000 0.000 0.000 4.695 0.000 2.348 2.348 5.581" Properties=species:S:1:pos:R:3 comment="CdN2Cl (PBE, optimized geometry)" raw_formation_energy_ev_per_atom=1.747 polymorph_energy_mev_per_atom=2039 total_magnetization_mub_per_atom=0.000 final_energy_ev_per_atom=-3.11 pbc="T T T"
Cd 4.695 2.348 2.791
Cd 0.000 0.000 0.000
N 3.521 3.761 4.186
N 5.869 5.629 4.186
N 3.281 1.174 1.395
N 1.414 3.521 1.395
Cl 2.348 4.695 2.791
Cl 2.348 2.348 0.000

---

Record 2
10
Lattice="3.916 -5.488 0.000 3.916 5.488 0.000 0.000 0.000 7.056" Properties=species:S:1:pos:R:3 comment="CdNCl3 (PBE, optimized geometry)" raw_formation_energy_ev_per_atom=0.025 polymorph_energy_mev_per_atom=0 total_magnetization_mub_per_atom=0.392 final_energy_ev_per_atom=-2.93 pbc="T T T"
Cl 4.037 0.000 1.764
Cl 3.164 3.764 5.292
Cl 3.164 -3.764 5.292
Cl 4.668 -3.764 1.764
Cl 3.795 0.000 5.292
Cl 4.668 3.764 1.764
N 5.617 0.000 1.764
N 2.215 0.000 5.292
Cd 0.000 0.000 3.528
Cd 0.000 0.000 0.000

---

Record 3
4
Lattice="-5.808 -1.717 -1.012 -3.976 -4.666 -0.357 -5.047 -2.621 2.318" Properties=species:S:1:pos:R:3 comment="CdN2Cl (PBE, optimized geometry)" raw_formation_energy_ev_per_atom=1.338 polymorph_energy_mev_per_atom=1629 total_magnetization_mub_per_atom=0.000 final_energy_ev_per_atom=-3.52 pbc="T T T"
Cd -7.415 -4.502 0.474
N -1.519 -0.922 0.097
N -13.311 -8.081 0.851
Cl 0.000 0.000 0.000